# PrSm2Th (GGA-PBE, optimized geometry)
data_PrSm2Th
_chemical_formula_sum 'Pr2 Sm4 Th2'
_cell_length_a 3.6358
_cell_length_b 3.6358
_cell_length_c 23.6450
_cell_angle_alpha 90.00
_cell_angle_beta 90.00
_cell_angle_gamma 120.00
_symmetry_space_group_name_H-M 'P 63/m m c'
_symmetry_Int_Tables_number 194
_symmetry_space_group_name_Hall '-P 6c 2c'
loop_
_atom_site_label
_atom_site_fract_x
_atom_site_fract_y
_atom_site_fract_z
Pr1 0.3333 0.6667 0.2500
Sm1 0.3333 0.6667 0.6208
Th1 0.0000 0.0000 0.0000
# Density of states at the Fermi level in states/eV/atom: 1.210
# E above lowest polymorph in kJ per mole of atoms: 0.0
# Formation energy from the elements in kJ per mole of atoms: 2
# ρ in Mg/m³: 8.3

---

# PrSmTh2 (GGA-PBE, optimized geometry)
data_PrSmTh2
_chemical_formula_sum 'Pr4 Sm4 Th8'
_cell_length_a 8.117
_cell_length_b 8.117
_cell_length_c 8.117
_cell_angle_alpha 90.00
_cell_angle_beta 90.00
_cell_angle_gamma 90.00
_symmetry_space_group_name_H-M 'F m -3 m'
_symmetry_Int_Tables_number 225
_symmetry_space_group_name_Hall '-F 4 2 3'
loop_
_atom_site_label
_atom_site_fract_x
_atom_site_fract_y
_atom_site_fract_z
Pr1 0.000 0.000 0.000
Sm1 0.000 0.000 0.500
Th1 0.250 0.250 0.250
# Density of states at the Fermi level in states/eV/atom: 2.214
# E above lowest polymorph in kJ per mole of atoms: 17.6
# Formation energy from the elements in kJ per mole of atoms: 21
# ρ in Mg/m³: 9.4

---

# Pr5Sm6Th2 (GGA-PBE, optimized geometry)
data_Pr5Sm6Th2
_chemical_formula_sum 'Pr10 Sm12 Th4'
_cell_length_a 11.740
_cell_length_b 21.332
_cell_length_c 3.648
_cell_angle_alpha 90.00
_cell_angle_beta 90.00
_cell_angle_gamma 90.00
_symmetry_space_group_name_H-M 'P b a m'
_symmetry_Int_Tables_number 55
loop_
_symmetry_equiv_pos_as_xyz
'x,y,z'
'-x,-y,-z'
'-x,-y,z'
'x,y,-z'
'x+1/2,-y+1/2,-z'
'-x+1/2,y+1/2,z'
'-x+1/2,y+1/2,-z'
'x+1/2,-y+1/2,z'
loop_
_atom_site_label
_atom_site_fract_x
_atom_site_fract_y
_atom_site_fract_z
Pr1 0.000 0.000 0.000
Pr2 0.061 0.294 0.000
Pr3 0.191 0.580 0.000
Sm1 0.064 0.148 0.500
Sm2 0.082 0.438 0.500
Sm3 0.186 0.875 0.000
Th1 0.193 0.735 0.500
# Density of states at the Fermi level in states/eV/atom: 1.316
# Formation energy from the elements in kJ per mole of atoms: 11
# ρ in Mg/m³: 7.5

---

# Pr2SmTh (GGA-PBE, optimized geometry)
data_Pr2SmTh
_chemical_formula_sum 'Pr2 Sm1 Th1'
_cell_length_a 5.163
_cell_length_b 5.163
_cell_length_c 5.168
_cell_angle_alpha 90.00
_cell_angle_beta 90.00
_cell_angle_gamma 90.00
_symmetry_space_group_name_H-M 'P 4/m m m'
_symmetry_Int_Tables_number 123
_symmetry_space_group_name_Hall '-P 4 2'
loop_
_atom_site_label
_atom_site_fract_x
_atom_site_fract_y
_atom_site_fract_z
Pr1 0.000 0.500 0.000
Sm1 0.000 0.000 0.500
Th1 0.500 0.500 0.500
# Density of states at the Fermi level in states/eV/atom: 1.214
# E above lowest polymorph in kJ per mole of atoms: 2.9
# Formation energy from the elements in kJ per mole of atoms: 6
# ρ in Mg/m³: 8.0

---

# PrSmTh2 (GGA-PBE, optimized geometry)
data_PrSmTh2
_chemical_formula_sum 'Pr4 Sm4 Th8'
_cell_length_a 5.945
_cell_length_b 28.817
_cell_length_c 3.557
_cell_angle_alpha 90.00
_cell_angle_beta 91.31
_cell_angle_gamma 90.00
_symmetry_space_group_name_H-M 'C 1 2/c 1'
_symmetry_Int_Tables_number 15
loop_
_symmetry_equiv_pos_as_xyz
'x,y,z'
'-x,-y,-z'
'-x,y,-z+1/2'
'x,-y,z+1/2'
'x+1/2,y+1/2,z'
'-x+1/2,-y+1/2,-z'
'-x+1/2,y+1/2,-z+1/2'
'x+1/2,-y+1/2,z+1/2'
loop_
_atom_site_label
_atom_site_fract_x
_atom_site_fract_y
_atom_site_fract_z
Pr1 0.250 0.250 0.000
Sm1 0.000 0.146 0.750
Th1 0.247 0.449 0.529
# Density of states at the Fermi level in states/eV/atom: 1.960
# E above lowest polymorph in kJ per mole of atoms: 44.0
# Formation energy from the elements in kJ per mole of atoms: 47
# ρ in Mg/m³: 8.2

---

# PrSmTh2 (GGA-PBE, optimized geometry)
data_PrSmTh2
_chemical_formula_sum 'Pr2 Sm2 Th4'
_cell_length_a 5.084
_cell_length_b 5.116
_cell_length_c 10.317
_cell_angle_alpha 90.00
_cell_angle_beta 90.14
_cell_angle_gamma 90.00
_symmetry_space_group_name_H-M 'P 1 21/m 1'
_symmetry_Int_Tables_number 11
loop_
_symmetry_equiv_pos_as_xyz
'x,y,z'
'-x,-y,-z'
'-x,y+1/2,-z'
'x,-y+1/2,z'
loop_
_atom_site_label
_atom_site_fract_x
_atom_site_fract_y
_atom_site_fract_z
Pr1 0.001 0.250 0.364
Sm1 0.499 0.250 0.636
Th1 0.000 0.250 0.882
Th2 0.500 0.250 0.117
# Density of states at the Fermi level in states/eV/atom: 1.693
# E above lowest polymorph in kJ per mole of atoms: 0.0
# Formation energy from the elements in kJ per mole of atoms: 3
# ρ in Mg/m³: 9.3

---

# PrSmTh (GGA-PBE, optimized geometry)
data_PrSmTh
_chemical_formula_sum 'Pr2 Sm2 Th2'
_cell_length_a 3.643
_cell_length_b 3.643
_cell_length_c 15.441
_cell_angle_alpha 90.00
_cell_angle_beta 90.00
_cell_angle_gamma 90.00
_symmetry_space_group_name_H-M 'I 4 m m'
_symmetry_Int_Tables_number 107
_symmetry_space_group_name_Hall 'I 4 -2'
loop_
_atom_site_label
_atom_site_fract_x
_atom_site_fract_y
_atom_site_fract_z
Pr1 0.000 0.000 0.000
Sm1 0.000 0.000 0.685
Th1 0.000 0.000 0.340
# Density of states at the Fermi level in states/eV/atom: 1.288
# E above lowest polymorph in kJ per mole of atoms: 0.8
# Formation energy from the elements in kJ per mole of atoms: 3
# ρ in Mg/m³: 8.5

---

# Pr14SmTh (GGA-PBE, optimized geometry)
data_Pr14SmTh
_chemical_formula_sum 'Pr14 Sm1 Th1'
_cell_length_a 7.383
_cell_length_b 7.383
_cell_length_c 10.525
_cell_angle_alpha 90.00
_cell_angle_beta 90.00
_cell_angle_gamma 90.00
_symmetry_space_group_name_H-M 'P 4/m m m'
_symmetry_Int_Tables_number 123
_symmetry_space_group_name_Hall '-P 4 2'
loop_
_atom_site_label
_atom_site_fract_x
_atom_site_fract_y
_atom_site_fract_z
Pr1 0.000 0.000 0.000
Pr2 0.000 0.500 0.000
Pr3 0.000 0.500 0.500
Pr4 0.247 0.247 0.253
Pr5 0.500 0.500 0.000
Sm1 0.500 0.500 0.500
Th1 0.000 0.000 0.500
# Density of states at the Fermi level in states/eV/atom: 1.605
# Formation energy from the elements in kJ per mole of atoms: 2
# ρ in Mg/m³: 6.8

---

# PrSm6Th (GGA-PBE, optimized geometry)
data_PrSm6Th
_chemical_formula_sum 'Pr1 Sm6 Th1'
_cell_length_a 5.133
_cell_length_b 5.133
_cell_length_c 10.269
_cell_angle_alpha 90.00
_cell_angle_beta 90.00
_cell_angle_gamma 90.00
_symmetry_space_group_name_H-M 'P 4/m m m'
_symmetry_Int_Tables_number 123
_symmetry_space_group_name_Hall '-P 4 2'
loop_
_atom_site_label
_atom_site_fract_x
_atom_site_fract_y
_atom_site_fract_z
Pr1 0.000 0.000 0.000
Sm1 0.000 0.500 0.255
Sm2 0.500 0.500 0.000
Sm3 0.500 0.500 0.500
Th1 0.000 0.000 0.500
# Density of states at the Fermi level in states/eV/atom: 1.307
# Formation energy from the elements in kJ per mole of atoms: 3
# ρ in Mg/m³: 7.8

---

# PrSm2Th (GGA-PBE, optimized geometry)
data_PrSm2Th
_chemical_formula_sum 'Pr3 Sm6 Th3'
_cell_length_a 3.5651
_cell_length_b 3.5651
_cell_length_c 37.6813
_cell_angle_alpha 90.00
_cell_angle_beta 90.00
_cell_angle_gamma 120.00
_symmetry_space_group_name_H-M 'R -3 m'
_symmetry_Int_Tables_number 166
_symmetry_space_group_name_Hall '-R 3 2"'
loop_
_atom_site_label
_atom_site_fract_x
_atom_site_fract_y
_atom_site_fract_z
Pr1 0.0000 0.0000 0.0000
Sm1 0.0000 0.0000 0.0918
Th1 0.0000 0.0000 0.5000
# Density of states at the Fermi level in states/eV/atom: 1.467
# E above lowest polymorph in kJ per mole of atoms: 10.5
# Formation energy from the elements in kJ per mole of atoms: 12
# ρ in Mg/m³: 8.1

---

# PrSm2Th (GGA-PBE, optimized geometry)
data_PrSm2Th
_chemical_formula_sum 'Pr3 Sm6 Th3'
_cell_length_a 3.6367
_cell_length_b 3.6367
_cell_length_c 35.6566
_cell_angle_alpha 90.00
_cell_angle_beta 90.00
_cell_angle_gamma 120.00
_symmetry_space_group_name_H-M 'R 3 m'
_symmetry_Int_Tables_number 160
_symmetry_space_group_name_Hall 'R 3 -2"'
loop_
_atom_site_label
_atom_site_fract_x
_atom_site_fract_y
_atom_site_fract_z
Pr1 0.0000 0.0000 0.0000
Sm1 0.0000 0.0000 0.4175
Sm2 0.0000 0.0000 0.5818
Th1 0.0000 0.0000 0.8335
# Density of states at the Fermi level in states/eV/atom: 1.579
# E above lowest polymorph in kJ per mole of atoms: 2.3
# Formation energy from the elements in kJ per mole of atoms: 4
# ρ in Mg/m³: 8.2

---

# Pr3Sm3Th (GGA-PBE, optimized geometry)
data_Pr3Sm3Th
_chemical_formula_sum 'Pr6 Sm6 Th2'
_cell_length_a 11.529
_cell_length_b 3.628
_cell_length_c 11.932
_cell_angle_alpha 90.00
_cell_angle_beta 91.36
_cell_angle_gamma 90.00
_symmetry_space_group_name_H-M 'P 1 21/m 1'
_symmetry_Int_Tables_number 11
loop_
_symmetry_equiv_pos_as_xyz
'x,y,z'
'-x,-y,-z'
'-x,y+1/2,-z'
'x,-y+1/2,z'
loop_
_atom_site_label
_atom_site_fract_x
_atom_site_fract_y
_atom_site_fract_z
Pr1 0.017 0.250 0.364
Pr2 0.051 0.250 0.891
Pr3 0.446 0.250 0.885
Sm1 0.244 0.250 0.679
Sm2 0.258 0.250 0.152
Sm3 0.264 0.750 0.425
Th1 0.493 0.750 0.628
# Density of states at the Fermi level in states/eV/atom: 1.267
# Formation energy from the elements in kJ per mole of atoms: 13
# ρ in Mg/m³: 7.4